Compound: Pm3In2Hg7
Source: the Alexandria database
Functional: GGA-PBE
Structure: relaxed

The structure in POSCAR format:
```
Pm3In2Hg7
1.0
4.157 0.000 0.000
0.000 4.900 -0.024
0.000 -2.502 15.698
Pm In Hg
3 2 7
Direct
0.500 0.500 0.000 Pm
0.000 0.184 0.372 Pm
0.000 0.816 0.628 Pm
0.500 0.639 0.280 In
0.500 0.361 0.720 In
0.500 0.727 0.457 Hg
0.500 0.273 0.543 Hg
0.000 0.578 0.150 Hg
0.000 0.000 0.000 Hg
0.000 0.422 0.850 Hg
0.500 0.918 0.836 Hg
0.500 0.082 0.164 Hg
```

Output
For the raw total energy, the calculation gives -2.087 eV/atom. The calculation puts the formation energy at -3.2 eV per formula unit. The space group is P2/m (10). For the volume, the calculation gives 319.53 Å³/f.u.

=====

Compound: YZr2CrBi
Source: the Alexandria database
Functional: GGA-PBE
Structure: relaxed

The structure in POSCAR format:
```
YZr2CrBi
1.0
4.850 0.000 0.000
0.000 5.290 0.000
0.000 0.000 4.850
Y Cr Bi Zr
1 1 1 2
Direct
0.500 0.500 0.500 Y
0.000 0.000 0.000 Cr
0.000 0.500 0.000 Bi
0.000 0.000 0.500 Zr
0.500 0.000 0.000 Zr
```

Output
For the raw total energy, the calculation gives -7.088 eV/atom. The calculation puts the formation energy at 1.6 eV per formula unit. The space group is P4/mmm (123). For the volume, the calculation gives 124.40 Å³/f.u.

=====

Compound: EuSc2Ta
Source: the Alexandria database
Functional: GGA-PBE
Structure: relaxed

The structure in POSCAR format:
```
EuSc2Ta
1.0
-1.591 -2.523 1.025
1.121 -1.699 2.410
-5.894 5.181 8.458
Eu Sc Ta
1 2 1
Direct
0.500 0.500 0.500 Eu
0.080 0.080 0.759 Sc
0.920 0.920 0.241 Sc
0.000 0.000 0.000 Ta
```

Output
For the raw total energy, the calculation gives -8.112 eV/atom. The calculation puts the formation energy at 2.3 eV per formula unit. The space group is R-3m (166). For the volume, the calculation gives 98.15 Å³/f.u.

=====

Compound: LiCo2Ni2
Source: the Alexandria database
Functional: GGA-PBE
Structure: relaxed

The structure in POSCAR format:
```
LiCo2Ni2
1.0
7.024 0.000 0.000
0.000 7.024 0.000
0.000 0.000 2.451
Ni Co Li
4 4 2
Direct
0.376 0.876 0.000 Ni
0.876 0.624 0.000 Ni
0.624 0.124 0.000 Ni
0.124 0.376 0.000 Ni
0.171 0.671 0.500 Co
0.671 0.829 0.500 Co
0.829 0.329 0.500 Co
0.329 0.171 0.500 Co
0.000 0.000 0.000 Li
0.500 0.500 0.000 Li
```

Output
For the raw total energy, the calculation gives -5.435 eV/atom. The calculation puts the formation energy at 0.5 eV per formula unit. The space group is P4/mbm (127). For the volume, the calculation gives 60.45 Å³/f.u. The calculation puts the energy above the most stable polymorph in this dataset at 0.0206 eV per atom.

=====

Compound: Tb2TiGa2Rh5
Source: the Alexandria database
Functional: GGA-PBE
Structure: relaxed

The structure in POSCAR format:
```
Tb2TiGa2Rh5
1.0
3.474 0.000 0.000
0.000 9.914 0.000
0.000 0.000 9.914
Tb Ti Ga Rh
4 2 4 10
Direct
0.000 0.672 0.172 Tb
0.000 0.328 0.828 Tb
0.000 0.172 0.328 Tb
0.000 0.828 0.672 Tb
0.000 0.000 0.000 Ti
0.000 0.500 0.500 Ti
0.000 0.127 0.627 Ga
0.000 0.873 0.373 Ga
0.000 0.627 0.873 Ga
0.000 0.373 0.127 Ga
0.500 0.201 0.065 Rh
0.500 0.799 0.935 Rh
0.500 0.065 0.799 Rh
0.500 0.701 0.435 Rh
0.500 0.935 0.201 Rh
0.500 0.299 0.565 Rh
0.500 0.565 0.701 Rh
0.500 0.435 0.299 Rh
0.500 0.500 0.000 Rh
0.500 0.000 0.500 Rh
```

Output
For the raw total energy, the calculation gives -6.796 eV/atom. The calculation puts the formation energy at -8.0 eV per formula unit. The space group is P4/mbm (127). For the volume, the calculation gives 170.74 Å³/f.u.

=====

Compound: YCrRh4
Source: the Alexandria database
Functional: GGA-PBE
Structure: relaxed

The structure in POSCAR format:
```
YCrRh4
1.0
0.000 3.700 3.700
3.700 0.000 3.700
3.700 3.700 0.000
Y Cr Rh
1 1 4
Direct
0.750 0.750 0.750 Y
0.000 0.000 0.000 Cr
0.877 0.374 0.374 Rh
0.374 0.374 0.877 Rh
0.374 0.877 0.374 Rh
0.374 0.374 0.374 Rh
```

Output
For the raw total energy, the calculation gives -7.816 eV/atom. The calculation puts the formation energy at -1.4 eV per formula unit. The space group is F-43m (216). For the volume, the calculation gives 101.31 Å³/f.u.

=====

Compound: KZn3Au3
Source: the Alexandria database
Functional: GGA-PBE
Structure: relaxed

The structure in POSCAR format:
```
KZn3Au3
1.0
-7.001 -0.317 -0.857
-4.204 -0.916 5.598
-4.192 7.231 2.487
K Zn Au
2 6 6
Direct
0.334 0.334 0.997 K
0.666 0.666 0.003 K
0.547 0.710 0.625 Zn
0.710 0.119 0.625 Zn
0.119 0.547 0.625 Zn
0.881 0.453 0.375 Zn
0.290 0.881 0.375 Zn
0.453 0.290 0.375 Zn
0.138 0.673 0.286 Au
0.903 0.138 0.286 Au
0.673 0.903 0.286 Au
0.327 0.097 0.714 Au
0.097 0.862 0.714 Au
0.862 0.327 0.714 Au
```

Output
For the raw total energy, the calculation gives -2.249 eV/atom. The calculation puts the formation energy at -1.0 eV per formula unit. The space group is R-3 (148). For the volume, the calculation gives 166.40 Å³/f.u. The calculation puts the energy above the most stable polymorph in this dataset at 0.0000 eV per atom.

=====

Compound: BaNaAgF6
Source: the Alexandria database
Functional: GGA-PBE
Structure: relaxed

The structure in POSCAR format:
```
BaNaAgF6
1.0
5.809 0.004 0.001
2.908 5.029 -0.001
0.001 -0.002 5.596
Ba Na Ag F
1 1 1 6
Direct
0.000 0.000 0.000 Ba
0.666 0.666 0.500 Na
0.333 0.333 0.500 Ag
0.025 0.348 0.285 F
0.348 0.025 0.715 F
0.626 0.349 0.716 F
0.024 0.628 0.714 F
0.349 0.626 0.284 F
0.627 0.024 0.286 F
```

Output
The raw formation energy is -2.3679 eV/atom. For the raw total energy, the calculation gives -4.292 eV/atom. The space group is C2 (5). For the volume, the calculation gives 163.43 Å³/f.u.

=====

Compound: Li4SnPb
Source: the Alexandria database
Functional: GGA-PBE
Structure: relaxed

The structure in POSCAR format:
```
Li4SnPb
1.0
5.564 0.000 0.000
2.782 4.819 0.000
2.782 1.606 4.543
Pb Sn Li
1 1 4
Direct
0.250 0.250 0.250 Pb
0.000 0.000 0.000 Sn
0.625 0.625 0.124 Li
0.625 0.124 0.625 Li
0.625 0.625 0.625 Li
0.124 0.625 0.625 Li
```

Output
For the raw total energy, the calculation gives -2.703 eV/atom. The calculation puts the formation energy at -0.8 eV per formula unit. The space group is F-43m (216). For the volume, the calculation gives 121.81 Å³/f.u. The calculation puts the energy above the most stable polymorph in this dataset at 0.1823 eV per atom.

=====

Compound: La2VOs2
Source: the Alexandria database
Functional: GGA-PBE
Structure: relaxed

The structure in POSCAR format:
```
La2VOs2
1.0
6.622 0.000 0.000
0.000 6.622 0.000
0.000 0.000 4.987
La Os V
4 4 2
Direct
0.180 0.680 0.500 La
0.680 0.820 0.500 La
0.820 0.320 0.500 La
0.320 0.180 0.500 La
0.366 0.866 0.000 Os
0.866 0.634 0.000 Os
0.634 0.134 0.000 Os
0.134 0.366 0.000 Os
0.000 0.000 0.000 V
0.500 0.500 0.000 V
```

Output
For the raw total energy, the calculation gives -8.173 eV/atom. The calculation puts the formation energy at 0.6 eV per formula unit. The space group is P4/mbm (127). For the volume, the calculation gives 109.36 Å³/f.u. The calculation puts the energy above the most stable polymorph in this dataset at 0.0000 eV per atom.

=====

Compound: SbPPdSe2
Source: the Alexandria database
Functional: GGA-PBE
Structure: relaxed

The structure in POSCAR format:
```
SbPPdSe2
1.0
4.712 0.000 0.000
0.000 5.271 0.000
0.000 0.000 4.712
Sb Se Pd P
1 2 1 1
Direct
0.000 0.500 0.000 Sb
0.000 0.000 0.500 Se
0.500 0.000 0.000 Se
0.500 0.500 0.500 Pd
0.000 0.000 0.000 P
```

Output
The raw formation energy is 0.6247 eV/atom. For the raw total energy, the calculation gives -3.714 eV/atom. The space group is P4/mmm (123). For the volume, the calculation gives 117.06 Å³/f.u.

=====

Compound: ErInHgPb
Source: the Alexandria database
Functional: GGA-PBE
Structure: relaxed

The structure in POSCAR format:
```
ErInHgPb
1.0
-1.318 -4.873 1.834
3.845 -3.586 1.101
1.054 -1.327 5.097
Pb In Hg Er
1 1 1 1
Direct
0.500 0.500 0.500 Pb
0.750 0.750 0.750 In
0.250 0.250 0.250 Hg
0.000 0.000 0.000 Er
```

Output
For the raw total energy, the calculation gives -2.987 eV/atom. The calculation puts the formation energy at -0.6 eV per formula unit. The space group is F-43m (216). For the volume, the calculation gives 109.57 Å³/f.u. The calculation puts the energy above the most stable polymorph in this dataset at 0.1693 eV per atom.